[1]
Density functional theory data (PBE) for a geometry-optimized Ta4NbCr structure.

Cell: 3.2222 3.2222 9.9072 Å, 90.00 90.00 90.00°
Space group P4/mmm (No. 123)
Symmetry-distinct sites (fractional):
Ta: 0.0000 0.0000 0.1512 [2 per cell]
Ta: 0.5000 0.5000 0.3287 [2 per cell]
Nb: 0.0000 0.0000 0.5000 [1 per cell]
Cr: 0.5000 0.5000 0.0000 [1 per cell]

Summary:
Mass density: 14.0 Mg/m³
E_form: 0.03 eV/f.u.
Energy: -11.1782 eV per atom
Magnetic moment: 0.00 μB/f.u.

[2]
Density functional theory data (PBE) for a geometry-optimized PmSmMgIn structure.

Cell: 7.6795 7.6795 7.6795 Å, 90.00 90.00 90.00°
Space group F-43m (No. 216)
Symmetry-distinct sites (fractional):
Pm: 0.0000 0.0000 0.0000 [4 per cell]
Sm: 0.0000 0.0000 0.5000 [4 per cell]
Mg: 0.2500 0.2500 0.7500 [4 per cell]
In: 0.2500 0.2500 0.2500 [4 per cell]

Summary:
Mass density: 6.4 Mg/m³
E_form: -1.35 eV/f.u.
Energy: -3.7872 eV per atom
Magnetic moment: 0.00 μB/f.u.

[3]
Density functional theory data (PBE) for a geometry-optimized ErTmAg4 structure.

Cell: 3.6777 5.2959 7.4604 Å, 110.63 90.01 110.22°
Space group P-1 (No. 2)
Symmetry-distinct sites (fractional):
Er: 0.0000 0.0000 0.0000 [1 per cell]
Tm: 0.0000 0.0000 0.5000 [1 per cell]
Ag: 0.3313 0.6625 0.1666 [2 per cell]
Ag: 0.3311 0.6621 0.6644 [2 per cell]

Summary:
Mass density: 10.1 Mg/m³
E_form: -1.97 eV/f.u.
Energy: -3.7351 eV per atom
Magnetic moment: 0.00 μB/f.u.

[4]
Density functional theory data (PBE) for a geometry-optimized BaCaSc2 structure.

Cell: 3.8678 6.0320 11.9567 Å, 90.00 90.00 90.00°
Space group Imm2 (No. 44)
Symmetry-distinct sites (fractional):
Ba: 0.0000 0.0000 0.0000 [2 per cell]
Ca: 0.0000 0.5000 0.7840 [2 per cell]
Sc: 0.0000 0.0000 0.5343 [2 per cell]
Sc: 0.0000 0.5000 0.2380 [2 per cell]

Summary:
Mass density: 3.2 Mg/m³
E_form: 1.27 eV/f.u.
Energy: -3.8289 eV per atom
Magnetic moment: 0.00 μB/f.u.

[5]
Density functional theory data (PBE) for a geometry-optimized Zr2TaPd structure.

Cell: 6.7590 6.7590 6.7590 Å, 90.00 90.00 90.00°
Space group Fm-3m (No. 225)
Symmetry-distinct sites (fractional):
Zr: 0.2500 0.2500 0.2500 [8 per cell]
Ta: 0.0000 0.0000 0.0000 [4 per cell]
Pd: 0.0000 0.0000 0.5000 [4 per cell]

Summary:
Mass density: 10.1 Mg/m³
E_form: -0.65 eV/f.u.
Energy: -8.6968 eV per atom
Magnetic moment: 0.00 μB/f.u.

[6]
Density functional theory data (PBE) for a geometry-optimized Pm6P2Se3Br structure.

Cell: 18.2062 4.1706 8.4349 Å, 90.00 102.60 90.00°
Space group C2/m (No. 12)
Symmetry-distinct sites (fractional):
Pm: 0.0101 0.0000 0.2755 [4 per cell]
Pm: 0.1714 0.5000 0.5735 [4 per cell]
Pm: 0.1770 0.5000 0.1114 [4 per cell]
P: 0.1680 0.0000 0.3355 [4 per cell]
Se: 0.0000 0.5000 0.5000 [2 per cell]
Se: 0.1596 0.0000 0.8376 [4 per cell]
Br: 0.0000 0.5000 0.0000 [2 per cell]

Summary:
Mass density: 6.6 Mg/m³
Energy: -5.9767 eV per atom
Magnetic moment: 0.00 μB/f.u.

[7]
Density functional theory data (PBE) for a geometry-optimized Tb6Tl5Ag structure.

Cell: 6.4794 11.3259 9.7871 Å, 90.00 103.38 90.00°
Space group C2/m (No. 12)
Symmetry-distinct sites (fractional):
Tb: 0.2404 0.0000 0.2432 [4 per cell]
Tb: 0.2395 0.1635 0.7411 [8 per cell]
Tl: 0.0000 0.1774 0.0000 [4 per cell]
Tl: 0.0000 0.3454 0.5000 [4 per cell]
Tl: 0.0000 0.5000 0.0000 [2 per cell]
Ag: 0.0000 0.0000 0.5000 [2 per cell]

Summary:
Mass density: 9.9 Mg/m³
E_form: -2.73 eV/f.u.
Energy: -3.7660 eV per atom
Magnetic moment: 0.00 μB/f.u.

[8]
Density functional theory data (PBE) for a geometry-optimized BaYGaF2 structure.

Cell: 4.5254 4.5254 6.2708 Å, 90.00 90.00 90.00°
Space group P4/mmm (No. 123)
Symmetry-distinct sites (fractional):
Ba: 0.0000 0.0000 0.0000 [1 per cell]
Y: 0.5000 0.5000 0.5000 [1 per cell]
Ga: 0.5000 0.5000 0.0000 [1 per cell]
F: 0.0000 0.5000 0.5000 [2 per cell]

Summary:
Mass density: 4.3 Mg/m³
Energy: -5.1806 eV per atom
Magnetic moment: 0.00 μB/f.u.

[9]
Density functional theory data (PBE) for a geometry-optimized KTa2GaGe structure.

Cell: 4.7590 4.7590 5.1183 Å, 90.00 90.00 90.00°
Space group P4/mmm (No. 123)
Symmetry-distinct sites (fractional):
K: 0.0000 0.0000 0.0000 [1 per cell]
Ta: 0.0000 0.5000 0.0000 [2 per cell]
Ga: 0.0000 0.0000 0.5000 [1 per cell]
Ge: 0.5000 0.5000 0.5000 [1 per cell]

Summary:
Mass density: 7.8 Mg/m³
E_form: 13.65 eV/f.u.
Energy: -3.7595 eV per atom
Magnetic moment: 0.00 μB/f.u.

[10]
Density functional theory data (PBE) for a geometry-optimized BC4 structure.

Cell: 2.5031 2.5256 19.2356 Å, 90.00 90.00 90.00°
Space group Imma (No. 74)
Symmetry-distinct sites (fractional):
B: 0.0000 0.2500 0.1724 [4 per cell]
C: 0.0000 0.2500 0.3842 [4 per cell]
C: 0.0000 0.2500 0.5710 [4 per cell]
C: 0.0000 0.2500 0.7716 [4 per cell]
C: 0.0000 0.2500 0.9771 [4 per cell]

Summary:
Mass density: 3.2 Mg/m³
E_form: 1.12 eV/f.u.
Energy: -8.4903 eV per atom
Magnetic moment: 0.00 μB/f.u.

[11]
Density functional theory data (PBE) for a geometry-optimized ZrMo structure.

Cell: 3.1078 3.1078 9.4423 Å, 90.00 90.00 120.00°
Space group P-3m1 (No. 164)
Symmetry-distinct sites (fractional):
Zr: 0.3333 0.6667 0.3563 [2 per cell]
Mo: 0.3333 0.6667 0.9019 [2 per cell]

Summary:
Mass density: 7.9 Mg/m³
E_form: 0.61 eV/f.u.
Energy: -9.3829 eV per atom
Magnetic moment: 0.00 μB/f.u.

[12]
Density functional theory data (PBE) for a geometry-optimized DyY4Ho2Tm2 structure.

Cell: 18.5720 3.5736 9.4773 Å, 90.00 115.82 90.00°
Space group C2/m (No. 12)
Symmetry-distinct sites (fractional):
Dy: 0.0000 0.0000 0.0000 [2 per cell]
Y: 0.0185 0.5000 0.3345 [4 per cell]
Y: 0.1855 0.0000 0.3327 [4 per cell]
Ho: 0.1487 0.0000 0.6681 [4 per cell]
Tm: 0.1672 0.5000 0.9990 [4 per cell]

Summary:
Mass density: 7.0 Mg/m³
E_form: 0.04 eV/f.u.
Energy: -5.3904 eV per atom
Magnetic moment: 0.00 μB/f.u.

[13]
Density functional theory data (PBE) for a geometry-optimized Cu3Pt3Rh structure.

Cell: 8.4726 8.4726 5.2085 Å, 90.00 90.00 120.00°
Space group R3m (No. 160, hexagonal axes)
Symmetry-distinct sites (fractional):
Cu: 0.0164 0.5082 0.0000 [9 per cell]
Pt: 0.0186 0.5093 0.4974 [9 per cell]
Rh: 0.0000 0.0000 0.0828 [3 per cell]

Summary:
Mass density: 13.5 Mg/m³
E_form: 0.68 eV/f.u.
Energy: -5.2971 eV per atom
Magnetic moment: 0.00 μB/f.u.

[14]
Density functional theory data (PBE) for a geometry-optimized Ac4Pr7Ho structure.

Cell: 6.6214 7.5924 9.5025 Å, 90.11 103.44 90.16°
Space group P-1 (No. 2)
Symmetry-distinct sites (fractional):
Ac: 0.2181 0.2403 0.1717 [2 per cell]
Ac: 0.2753 0.4997 0.8290 [2 per cell]
Pr: 0.0040 0.7557 0.4974 [2 per cell]
Pr: 0.2250 0.7533 0.1768 [2 per cell]
Pr: 0.2846 0.0005 0.8258 [2 per cell]
Pr: 0.5000 0.5000 0.5000 [1 per cell]
Ho: 0.5000 0.0000 0.5000 [1 per cell]

Summary:
Mass density: 7.4 Mg/m³
E_form: 0.40 eV/f.u.
Energy: -4.5053 eV per atom
Magnetic moment: 0.00 μB/f.u.

[15]
Density functional theory data (PBE) for a geometry-optimized BSbPb3 structure.

Cell: 5.9301 5.9301 5.9301 Å, 90.00 90.00 90.00°
Space group Pm-3m (No. 221)
Symmetry-distinct sites (fractional):
B: 0.0000 0.0000 0.0000 [1 per cell]
Sb: 0.5000 0.5000 0.5000 [1 per cell]
Pb: 0.0000 0.5000 0.5000 [3 per cell]

Summary:
Mass density: 6.0 Mg/m³
Energy: -2.8688 eV per atom
Magnetic moment: 0.00 μB/f.u.

[16]
Density functional theory data (PBE) for a geometry-optimized PrDyTh structure.

Cell: 8.9538 6.9237 6.6902 Å, 90.00 102.41 90.00°
Space group P2_1/c (No. 14)
Symmetry-distinct sites (fractional):
Pr: 0.1661 0.0976 0.1606 [4 per cell]
Dy: 0.1773 0.6004 0.1376 [4 per cell]
Th: 0.4974 0.2231 0.5798 [4 per cell]

Summary:
Mass density: 8.8 Mg/m³
E_form: 0.51 eV/f.u.
Energy: -5.4294 eV per atom
Magnetic moment: 0.00 μB/f.u.

[17]
Density functional theory data (PBE) for a geometry-optimized SrAc8Co2 structure.

Cell: 17.0384 7.6326 6.7883 Å, 90.00 95.90 90.00°
Space group C2/m (No. 12)
Symmetry-distinct sites (fractional):
Sr: 0.0000 0.0000 0.0000 [2 per cell]
Ac: 0.0827 0.5000 0.8342 [4 per cell]
Ac: 0.1417 0.2469 0.4024 [8 per cell]
Ac: 0.2148 0.0000 0.9105 [4 per cell]
Co: 0.2292 0.5000 0.6561 [4 per cell]

Summary:
Mass density: 7.6 Mg/m³
E_form: 0.67 eV/f.u.
Energy: -4.3721 eV per atom
Magnetic moment: 0.00 μB/f.u.

[18]
Density functional theory data (PBE) for a geometry-optimized BeCu2Pb structure.

Cell: 3.2642 3.7812 5.3050 Å, 90.00 93.26 90.00°
Space group Pm (No. 6)
Symmetry-distinct sites (fractional):
Be: 0.0000 0.0000 0.0000 [1 per cell]
Cu: 0.4695 0.0000 0.7004 [1 per cell]
Cu: 0.9752 0.5000 0.7667 [1 per cell]
Pb: 0.5156 0.5000 0.2637 [1 per cell]

Summary:
Mass density: 8.7 Mg/m³
E_form: 1.29 eV/f.u.
Energy: -3.5834 eV per atom
Magnetic moment: 0.00 μB/f.u.

[19]
Density functional theory data (PBE) for a geometry-optimized ZnCo2W structure.

Cell: 2.6484 3.8615 4.9798 Å, 90.00 90.00 90.00°
Space group Pmm2 (No. 25)
Symmetry-distinct sites (fractional):
Zn: 0.0000 0.0000 0.0000 [1 per cell]
Co: 0.0000 0.0000 0.4866 [1 per cell]
Co: 0.5000 0.5000 0.2011 [1 per cell]
W: 0.5000 0.5000 0.6993 [1 per cell]

Summary:
Mass density: 12.0 Mg/m³
E_form: 0.68 eV/f.u.
Energy: -6.9397 eV per atom
Magnetic moment: 0.00 μB/f.u.

[20]
Density functional theory data (PBE) for a geometry-optimized Be2BN structure.

Cell: 10.3941 2.8799 4.2788 Å, 90.00 109.73 90.00°
Space group Cm (No. 8)
Symmetry-distinct sites (fractional):
Be: 0.0000 0.0000 0.0000 [2 per cell]
Be: 0.0309 0.0000 0.5196 [2 per cell]
Be: 0.2513 0.5000 0.7650 [2 per cell]
Be: 0.3337 0.0000 0.4126 [2 per cell]
B: 0.1453 0.5000 0.1043 [2 per cell]
B: 0.1854 0.0000 0.9653 [2 per cell]
N: 0.0389 0.5000 0.2764 [2 per cell]
N: 0.3816 0.5000 0.6181 [2 per cell]

Summary:
Mass density: 2.4 Mg/m³
Energy: -6.0768 eV per atom
Magnetic moment: 0.00 μB/f.u.

[21]
Density functional theory data (PBE) for a geometry-optimized PuThZnCd structure.

Cell: 7.4585 7.4585 7.4585 Å, 90.00 90.00 90.00°
Space group F-43m (No. 216)
Symmetry-distinct sites (fractional):
Pu: 0.0000 0.0000 0.0000 [4 per cell]
Th: 0.0000 0.0000 0.5000 [4 per cell]
Zn: 0.2500 0.2500 0.7500 [4 per cell]
Cd: 0.2500 0.2500 0.2500 [4 per cell]

Summary:
Mass density: 10.5 Mg/m³
E_form: -0.03 eV/f.u.
Energy: -5.9921 eV per atom
Magnetic moment: 6.75 μB/f.u.